The following is a DFT calculation (PBE-GGA) of a relaxed structure of CdGe2Rh.

Cell and atoms, written as extended XYZ:
```
4
Lattice="-1.478 2.000 -1.960 -2.802 -0.787 -1.249 -5.524 4.102 5.792" Properties=species:S:1:pos:R:3 pbc="T T T"
Ge -5.511 2.324 -1.148
Ge -4.293 2.991 3.730
Cd 0.000 0.000 0.000
Rh -4.902 2.658 1.291
```

Values from the calculation:
Formation energy = -120 meV/atom
SG = R-3m
Crystal system = trigonal

The following is a DFT calculation (PBE-GGA) of a relaxed structure of CdGeRh3.

Cell and atoms, written as extended XYZ:
```
5
Lattice="4.551 0.000 0.000 0.000 4.551 0.000 0.000 0.000 4.551" Properties=species:S:1:pos:R:3 pbc="T T T"
Cd 2.275 2.275 2.275
Ge 0.000 0.000 0.000
Rh 0.000 0.000 2.275
Rh 0.000 2.275 0.000
Rh 2.275 0.000 0.000
```

Values from the calculation:
Formation energy = 291 meV/atom
SG = Pm-3m
Crystal system = cubic
Excess energy over the best structure of this formula in the dataset = 0.000 eV/atom

> Which value of formation energy does entry 1 give?

-120 meV/atom